Here is a geometry-optimized In4Hg6Sb structure from Alexandria via LeMat-Bulk. Energies are from PBE-GGA.

Calculated values
Formation energy from raw total energies   0.058 eV per atom
SG   P4_2/nmc, No. 137

abc: 7.0573 10.0366 10.0366
angles: 90.00 90.00 90.00
With the nearest neighbours (Å) after each atom.
Element x y z (fractional)
1 Hg 0.5105 0.5000 0.0000  4 In 2.98-3.23
2 Hg 0.0000 0.7731 0.7731  4 In 2.98-3.20
3 Hg 0.5000 0.7269 0.2731  4 In 2.98-3.20
4 Hg 0.0105 0.5000 0.0000  4 In 2.98-3.23
5 Hg 0.0000 0.7731 0.2269  4 In 2.98-3.20
6 Hg 0.5000 0.2731 0.7269  4 In 2.98-3.20
7 Hg 0.9895 0.0000 0.5000  4 In 2.98-3.23
8 Hg 0.4895 0.0000 0.5000  4 In 2.98-3.23
9 Hg 0.0000 0.2269 0.2269  4 In 2.98-3.20
10 Hg 0.5000 0.7269 0.7269  4 In 2.98-3.20
11 Hg 0.0000 0.2269 0.7731  4 In 2.98-3.20
12 Hg 0.5000 0.2731 0.2731  4 In 2.98-3.20
13 In 0.2706 0.0000 0.2461  1 Sb 2.95, 6 Hg 2.98-3.23
14 In 0.7294 0.2461 0.0000  1 Sb 2.95, 6 Hg 2.98-3.23
15 In 0.2294 0.5000 0.7461  1 Sb 2.95, 6 Hg 2.98-3.23
16 In 0.7294 0.7539 0.0000  1 Sb 2.95, 6 Hg 2.98-3.23
17 In 0.2294 0.5000 0.2539  1 Sb 2.95, 6 Hg 2.98-3.23
18 In 0.2706 0.0000 0.7539  1 Sb 2.95, 6 Hg 2.98-3.23
19 In 0.7706 0.7461 0.5000  1 Sb 2.95, 6 Hg 2.98-3.23
20 In 0.7706 0.2539 0.5000  1 Sb 2.95, 6 Hg 2.98-3.23
21 Sb 0.5000 0.0000 0.0000  4 In 2.95
22 Sb 0.0000 0.5000 0.5000  4 In 2.95